Crystalline K3Co2SbO6 at its relaxed geometry, computed with PBE with a Hubbard U.

Values from the calculation:
crystal system	monoclinic
raw total energy	-5.316	eV/atom
magnetization	11.80	Bohr magnetons per cell
V	13.57	Å³ per atom

Lattice parameters (Å, degrees): 5.5412 9.6773 6.3391 90.00 106.61 90.00
Last column: nearest neighbours and their distance in Å.
Space group C2/m (No. 12)
Symmetry-distinct sites (fractional):
K1 0.0000 0.0000 0.0000 (multiplicity 2)  6 O 2.66-2.75
K2 0.0000 0.3248 0.0000 (multiplicity 4)  6 O 2.67-2.73
Co1 0.0000 0.1685 0.5000 (multiplicity 4)  6 O 2.17-2.24
Sb1 0.0000 0.5000 0.5000 (multiplicity 2)  6 O 2.05
O1 0.2184 0.3442 0.6772 (multiplicity 8)  1 Sb 2.05, 2 Co 2.17-2.20
O2 0.2499 0.0000 0.6829 (multiplicity 4)  1 Sb 2.05, 2 Co 2.24